Record 1
# SrZr2Os

A geometry-optimized SrZr2Os structure (PBE-GGA, Alexandria).

Properties
E above lowest polymorph   89 meV per atom
Calculated formation energy   0.15 eV/atom
Electronic total energy   -29.39 eV/cell
Symmetry   P4mm (99)
V   98.0 Å³ per cell

Cell lengths 3.389, 3.389, 8.534 Å; angles 90.00, 90.00, 90.00 degrees
Positions (direct):
Sr1 0.000 0.000 0.000
Zr1 0.000 0.000 0.590
Zr2 0.500 0.500 0.355
Os1 0.500 0.500 0.746

Record 2
# SrZr2Os

A geometry-optimized SrZr2Os structure (PBE-GGA, Alexandria).

Properties
E above lowest polymorph   543 meV per atom
Calculated formation energy   0.61 eV/atom
Electronic total energy   -27.58 eV/cell
Symmetry   Pmmm (47)
V   88.1 Å³ per cell

Cell lengths 3.564, 4.826, 5.124 Å; angles 90.00, 90.00, 90.00 degrees
Positions (direct):
Sr1 0.000 0.000 0.000
Zr1 0.000 0.500 0.500
Zr2 0.500 0.500 0.000
Os1 0.500 0.000 0.500

Record 3
# Sr2ZrOs

A geometry-optimized Sr2ZrOs structure (PBE-GGA, Alexandria).

Properties
E above lowest polymorph   576 meV per atom
Calculated formation energy   0.71 eV/atom
Electronic total energy   -20.29 eV/cell
Symmetry   P4/mmm (123)
V   99.0 Å³ per cell

Cell lengths 4.254, 4.254, 5.472 Å; angles 90.00, 90.00, 90.00 degrees
Positions (direct):
Sr1 0.000 0.500 0.000
Sr2 0.500 0.000 0.000
Zr1 0.000 0.000 0.500
Os1 0.500 0.500 0.500

Record 4
# SrZr2Os

A geometry-optimized SrZr2Os structure (PBE-GGA, Alexandria).

Properties
E above lowest polymorph   843 meV per atom
Calculated formation energy   0.91 eV/atom
Electronic total energy   -105.52 eV/cell
Symmetry   I-42d (122)
V   526.6 Å³ per cell

Cell lengths 5.445, 5.445, 17.764 Å; angles 90.00, 90.00, 90.00 degrees
Positions (direct):
Sr1 0.000 0.000 0.000
Sr2 0.000 0.500 0.250
Sr3 0.500 0.000 0.750
Sr4 0.500 0.500 0.500
Zr1 0.015 0.250 0.625
Zr2 0.250 0.515 0.875
Zr3 0.250 0.985 0.375
Zr4 0.485 0.250 0.125
Zr5 0.515 0.750 0.125
Zr6 0.750 0.015 0.375
Zr7 0.750 0.485 0.875
Zr8 0.985 0.750 0.625
Os1 0.000 0.000 0.500
Os2 0.000 0.500 0.750
Os3 0.500 0.000 0.250
Os4 0.500 0.500 0.000

Record 5
# TaOs2

A geometry-optimized TaOs2 structure (PBE-GGA, Alexandria).

Properties
Calculated formation energy   0.05 eV/atom
Electronic total energy   -136.62 eV/cell
Symmetry   Cmcm (63)
V   187.0 Å³ per cell

Cell lengths 2.768, 14.934, 4.523 Å; angles 90.00, 90.00, 90.00 degrees
Positions (direct):
Ta1 0.000 0.212 0.250
Ta2 0.000 0.788 0.750
Ta3 0.500 0.288 0.750
Ta4 0.500 0.712 0.250
Os1 0.000 0.109 0.750
Os2 0.000 0.453 0.750
Os3 0.000 0.547 0.250
Os4 0.000 0.891 0.250
Os5 0.500 0.047 0.250
Os6 0.500 0.391 0.250
Os7 0.500 0.609 0.750
Os8 0.500 0.953 0.750

Record 6
# TaOs2

A geometry-optimized TaOs2 structure (PBE-GGA, Alexandria).

Properties
Calculated formation energy   -0.20 eV/atom
Electronic total energy   -139.66 eV/cell
Symmetry   I4_1/amd (141)
V   186.6 Å³ per cell

Cell lengths 12.390, 12.390, 12.390 Å; angles 161.74, 161.74, 25.93 degrees
Positions (direct):
Ta1 0.297 0.547 0.750
Ta2 0.453 0.703 0.750
Ta3 0.547 0.297 0.250
Ta4 0.703 0.453 0.250
Os1 0.043 0.793 0.250
Os2 0.126 0.376 0.750
Os3 0.207 0.957 0.250
Os4 0.376 0.126 0.250
Os5 0.624 0.874 0.750
Os6 0.793 0.043 0.750
Os7 0.874 0.624 0.250
Os8 0.957 0.207 0.750

Record 7
# Ta4Os

A geometry-optimized Ta4Os structure (PBE-GGA, Alexandria).

Properties
E above lowest polymorph   1081 meV per atom
Calculated formation energy   0.84 eV/atom
Electronic total energy   -108.89 eV/cell
Symmetry   Im-3m (229)
V   214.9 Å³ per cell

Cell lengths 5.990, 5.990, 5.990 Å; angles 90.00, 90.00, 90.00 degrees
Positions (direct):
Ta1 0.250 0.250 0.250
Ta2 0.250 0.250 0.750
Ta3 0.250 0.750 0.250
Ta4 0.250 0.750 0.750
Ta5 0.750 0.250 0.250
Ta6 0.750 0.250 0.750
Ta7 0.750 0.750 0.250
Ta8 0.750 0.750 0.750
Os1 0.000 0.000 0.000
Os2 0.500 0.500 0.500

Record 8
# Ta2Os

A geometry-optimized Ta2Os structure (PBE-GGA, Alexandria).

Properties
Calculated formation energy   -0.06 eV/atom
Electronic total energy   -70.21 eV/cell
Symmetry   Pnnm (58)
V   101.8 Å³ per cell

Cell lengths 2.857, 8.113, 4.392 Å; angles 90.00, 90.00, 90.00 degrees
Positions (direct):
Ta1 0.172 0.162 0.000
Ta2 0.328 0.662 0.500
Ta3 0.672 0.338 0.500
Ta4 0.828 0.838 0.000
Os1 0.000 0.500 0.000
Os2 0.500 0.000 0.500

Record 9
# TaOs2

A geometry-optimized TaOs2 structure (PBE-GGA, Alexandria).

Properties
Calculated formation energy   0.22 eV/atom
Electronic total energy   -134.62 eV/cell
Symmetry   I4_1/amd (141)
V   201.7 Å³ per cell

Cell lengths 3.111, 3.111, 20.846 Å; angles 90.00, 90.00, 90.00 degrees
Positions (direct):
Ta1 0.000 0.250 0.375
Ta2 0.000 0.750 0.625
Ta3 0.500 0.250 0.125
Ta4 0.500 0.750 0.875
Os1 0.000 0.250 0.801
Os2 0.000 0.250 0.949
Os3 0.000 0.750 0.051
Os4 0.000 0.750 0.199
Os5 0.500 0.250 0.551
Os6 0.500 0.250 0.699
Os7 0.500 0.750 0.301
Os8 0.500 0.750 0.449

Record 10
# Ta2Os3

A geometry-optimized Ta2Os3 structure (PBE-GGA, Alexandria).

Properties
E above lowest polymorph   281 meV per atom
Calculated formation energy   0.13 eV/atom
Electronic total energy   -170.28 eV/cell
Symmetry   R-3m (166)
V   237.2 Å³ per cell

Cell lengths 2.808, 2.808, 34.752 Å; angles 90.00, 90.00, 120.00 degrees
Positions (direct):
Ta1 0.000 0.000 0.100
Ta2 0.000 0.000 0.900
Ta3 0.333 0.667 0.567
Ta4 0.333 0.667 0.767
Ta5 0.667 0.333 0.233
Ta6 0.667 0.333 0.433
Os1 0.000 0.000 0.302
Os2 0.000 0.000 0.500
Os3 0.000 0.000 0.698
Os4 0.333 0.667 0.167
Os5 0.333 0.667 0.364
Os6 0.333 0.667 0.969
Os7 0.667 0.333 0.031
Os8 0.667 0.333 0.636
Os9 0.667 0.333 0.833

Record 11
# TaOs2

A geometry-optimized TaOs2 structure (PBE-GGA, Alexandria).

Properties
Calculated formation energy   -0.06 eV/atom
Electronic total energy   -137.95 eV/cell
Symmetry   Cm (8)
V   186.2 Å³ per cell

Cell lengths 10.199, 2.825, 6.656 Å; angles 90.00, 103.76, 90.00 degrees
Positions (direct):
Ta1 0.000 0.000 0.000
Ta2 0.182 0.500 0.349
Ta3 0.500 0.500 0.000
Ta4 0.682 0.000 0.349
Os1 0.120 0.500 0.722
Os2 0.279 0.000 0.052
Os3 0.342 0.000 0.671
Os4 0.451 0.500 0.398
Os5 0.620 0.000 0.722
Os6 0.779 0.500 0.052
Os7 0.842 0.500 0.671
Os8 0.951 0.000 0.398

Record 12
# Ta2Os

A geometry-optimized Ta2Os structure (PBE-GGA, Alexandria).

Properties
Calculated formation energy   0.45 eV/atom
Electronic total energy   -134.37 eV/cell
Symmetry   Imma (74)
V   222.0 Å³ per cell

Cell lengths 2.865, 3.960, 19.568 Å; angles 90.00, 90.00, 90.00 degrees
Positions (direct):
Ta1 0.000 0.250 0.049
Ta2 0.000 0.250 0.187
Ta3 0.000 0.750 0.813
Ta4 0.000 0.750 0.951
Ta5 0.500 0.250 0.313
Ta6 0.500 0.250 0.451
Ta7 0.500 0.750 0.549
Ta8 0.500 0.750 0.687
Os1 0.000 0.250 0.610
Os2 0.000 0.750 0.390
Os3 0.500 0.250 0.890
Os4 0.500 0.750 0.110

Record 13
# Ta2Os

A geometry-optimized Ta2Os structure (PBE-GGA, Alexandria).

Properties
Calculated formation energy   0.49 eV/atom
Electronic total energy   -66.93 eV/cell
Symmetry   Fd-3m (227)
V   103.7 Å³ per cell

Cell lengths 5.273, 5.273, 5.273 Å; angles 60.00, 60.00, 60.00 degrees
Positions (direct):
Ta1 0.000 0.000 0.000
Ta2 0.000 0.000 0.500
Ta3 0.000 0.500 0.000
Ta4 0.500 0.000 0.000
Os1 0.375 0.375 0.375
Os2 0.625 0.625 0.625

Record 14
# Ta2Os

A geometry-optimized Ta2Os structure (PBE-GGA, Alexandria).

Properties
Calculated formation energy   0.56 eV/atom
Electronic total energy   -133.03 eV/cell
Symmetry   Pa-3 (205)
V   240.0 Å³ per cell

Cell lengths 6.214, 6.214, 6.214 Å; angles 90.00, 90.00, 90.00 degrees
Positions (direct):
Ta1 0.147 0.147 0.147
Ta2 0.147 0.353 0.647
Ta3 0.353 0.647 0.147
Ta4 0.353 0.853 0.647
Ta5 0.647 0.147 0.353
Ta6 0.647 0.353 0.853
Ta7 0.853 0.647 0.353
Ta8 0.853 0.853 0.853
Os1 0.000 0.000 0.500
Os2 0.000 0.500 0.000
Os3 0.500 0.000 0.000
Os4 0.500 0.500 0.500